Record 1
A plane-wave DFT calculation with meta-GGA SCAN was carried out for Sr2Zn2As3 at its PBEsol-relaxed geometry.

The structure in extended XYZ format:
```
14
Lattice="-4.155 0.550 0.715 -3.546 -0.585 -7.511 -3.293 -9.235 0.612" Properties=species:S:1:pos:R:3 pbc="T T T"
Sr -8.313 -6.220 -5.596
Sr -5.693 -8.696 -1.113
Sr -5.299 -0.574 -5.071
Sr -2.680 -3.050 -0.588
As -6.644 -8.601 -6.705
As -3.050 -2.090 -3.472
As -4.349 -0.668 0.522
As -5.164 -4.828 -1.013
As -5.829 -4.442 -5.171
As -7.943 -7.180 -2.712
Zn -3.255 -6.472 -1.293
Zn -5.718 -6.082 -3.264
Zn -5.275 -3.187 -2.920
Zn -7.738 -2.798 -4.890
```

Output
**Energy of formation**: -0.898 eV per atom
**Volume**: 163 Å³/f.u.

---

Record 2
A plane-wave DFT calculation with meta-GGA SCAN was carried out for Ca2Al2Pt at its PBEsol-relaxed geometry.

The structure in extended XYZ format:
```
10
Lattice="4.873 0.000 0.000 0.000 6.691 0.000 0.000 0.000 6.691" Properties=species:S:1:pos:R:3 pbc="T T T"
Pt 0.000 0.000 0.000
Pt 0.000 3.345 3.345
Ca 2.437 2.150 1.196
Ca 2.437 4.541 5.495
Ca 2.437 5.495 2.150
Ca 2.437 1.196 4.541
Al 0.000 4.279 0.934
Al 0.000 2.412 5.757
Al 0.000 5.757 4.279
Al 0.000 0.934 2.412
```

Output
**Energy of formation**: -0.611 eV per atom
**Volume**: 109 Å³/f.u.

---

Record 3
A plane-wave DFT calculation with meta-GGA SCAN was carried out for ZrTe2Ir at its PBEsol-relaxed geometry.

The structure in extended XYZ format:
```
4
Lattice="-1.563 -1.697 2.938 0.012 -3.726 -2.147 6.784 1.344 2.011" Properties=species:S:1:pos:R:3 pbc="T T T"
Zr -0.781 -0.849 1.469
Ir 0.006 -1.863 -1.073
Te 4.235 -0.964 1.696
Te 0.998 -3.115 1.106
```

Output
**Volume**: 106 Å³/f.u.
**Formation energy from raw total energies**: -652 meV/atom

---

Record 4
A plane-wave DFT calculation with meta-GGA SCAN was carried out for MnNb3H at its PBEsol-relaxed geometry.

The structure in extended XYZ format:
```
5
Lattice="4.117 0.000 0.000 0.000 4.117 0.000 0.000 0.000 4.117" Properties=species:S:1:pos:R:3 pbc="T T T"
Nb 2.058 0.000 0.000
Nb 0.000 2.058 0.000
Nb 0.000 0.000 2.058
Mn 2.058 2.058 2.058
H 0.000 0.000 0.000
```

Output
**VASP energy**: -121.03 eV per formula unit
**Volume**: 70 Å³/f.u.

---

Record 5
A plane-wave DFT calculation with meta-GGA SCAN was carried out for LiRh3C at its PBEsol-relaxed geometry.

The structure in extended XYZ format:
```
5
Lattice="3.971 0.000 0.000 0.000 3.971 0.000 0.000 0.000 3.971" Properties=species:S:1:pos:R:3 pbc="T T T"
Rh 0.000 1.985 0.000
Rh 1.985 0.000 0.000
Rh 0.000 0.000 1.985
Li 1.985 1.985 1.985
C 0.000 0.000 0.000
```

Output
**Energy of formation**: -0.058 eV per atom
**Volume**: 63 Å³/f.u.

---

Record 6
A plane-wave DFT calculation with meta-GGA SCAN was carried out for CsCoI2N at its PBEsol-relaxed geometry.

The structure in extended XYZ format:
```
5
Lattice="-2.905 -0.244 -1.943 -0.575 -5.794 1.588 -3.324 1.635 4.765" Properties=species:S:1:pos:R:3 pbc="T T T"
Co 0.000 0.000 0.000
Cs -3.402 -2.202 2.205
I -1.662 0.818 2.383
I -0.287 -2.897 0.794
N -1.453 -0.122 -0.971
```

Output
**Volume**: 128 Å³/f.u.
**Formation energy from raw total energies**: 38 meV/atom

---

Record 7
A plane-wave DFT calculation with meta-GGA SCAN was carried out for CoNiPt at its PBEsol-relaxed geometry.

The structure in extended XYZ format:
```
3
Lattice="2.584 0.000 0.000 0.000 4.043 0.000 0.000 -2.021 3.501" Properties=species:S:1:pos:R:3 pbc="T T T"
Ni 0.000 2.021 1.167
Pt 1.292 0.000 2.334
Co 0.000 0.000 0.000
```

Output
**Energy of formation**: -0.060 eV per atom
**Volume**: 37 Å³/f.u.

---

Record 8
A plane-wave DFT calculation with meta-GGA SCAN was carried out for InCuSi2B at its PBEsol-relaxed geometry.

The structure in extended XYZ format:
```
5
Lattice="4.105 0.000 0.000 0.000 5.155 0.000 0.000 0.000 5.155" Properties=species:S:1:pos:R:3 pbc="T T T"
In 0.000 0.000 0.000
Si 0.000 2.577 0.000
Si 0.000 0.000 2.577
Cu 2.052 2.577 2.577
B 2.052 0.000 0.000
```

Output
**Volume**: 109 Å³/f.u.
**Formation energy from raw total energies**: 1953 meV/atom